Here is a geometry-optimized Al2RuRhC structure from the Alexandria database. Energies are from GGA-PBE.

formation energy: 1.722 eV per atom

Cell: 4.638 4.638 4.652 Å, 90.00 90.00 90.00°
Element x y z (fractional)
Al  0.000  0.500  0.000
Al  0.500  0.000  0.000
Ru  0.000  0.000  0.000
Rh  0.000  0.000  0.500
C  0.500  0.500  0.500

=====

Here is a geometry-optimized SrAlRh2C structure from the Alexandria database. Energies are from GGA-PBE.

formation energy: 2.883 eV per atom

Cell: 4.944 4.944 5.867 Å, 90.00 90.00 90.00°
Element x y z (fractional)
Sr  0.000  0.000  0.000
Al  0.000  0.000  0.500
Rh  0.000  0.500  0.000
Rh  0.500  0.000  0.000
C  0.500  0.500  0.500

=====

Here is a geometry-optimized TaAlRhC2 structure from the Alexandria database. Energies are from GGA-PBE.

formation energy: 1.628 eV per atom

Cell: 3.903 3.903 5.254 Å, 90.00 90.00 90.00°
Element x y z (fractional)
Ta  0.000  0.000  0.000
Al  0.500  0.500  0.000
Rh  0.000  0.000  0.500
C  0.000  0.500  0.500
C  0.500  0.000  0.500

=====

Here is a geometry-optimized AlRu2C2 structure from the Alexandria database. Energies are from GGA-PBE.

distance to the lowest polymorph of the same formula: 0.0 meV per atom
formation energy: 0.323 eV per atom

Cell: 4.502 4.502 4.502 Å, 128.91 128.91 75.15°
Element x y z (fractional)
Al  0.000  0.000  0.000
Ru  0.250  0.750  0.500
Ru  0.750  0.250  0.500
C  0.393  0.393  0.000
C  0.607  0.607  0.000

=====

Here is a geometry-optimized Al3RuC structure from the Alexandria database. Energies are from GGA-PBE.

distance to the lowest polymorph of the same formula: 1045.4 meV per atom
formation energy: 1.192 eV per atom

Cell: 4.666 4.666 4.666 Å, 90.00 90.00 90.00°
Element x y z (fractional)
Al  0.000  0.000  0.500
Al  0.000  0.500  0.000
Al  0.500  0.000  0.000
Ru  0.000  0.000  0.000
C  0.500  0.500  0.500

=====

Here is a geometry-optimized AlRu2C2 structure from the Alexandria database. Energies are from GGA-PBE.

distance to the lowest polymorph of the same formula: 407.0 meV per atom
formation energy: 0.730 eV per atom

Cell: 6.137 6.137 2.760 Å, 90.00 90.00 90.00°
Element x y z (fractional)
Al  0.000  0.000  0.000
Al  0.500  0.500  0.000
Ru  0.157  0.343  0.500
Ru  0.343  0.843  0.500
Ru  0.657  0.157  0.500
Ru  0.843  0.657  0.500
C  0.158  0.658  0.000
C  0.342  0.158  0.000
C  0.658  0.842  0.000
C  0.842  0.342  0.000

=====

> Which formula does entry 3 have?

TaAlRhC2

=====

> The highest formation energy belongs to which entry?

SrAlRh2C

=====

> Among the records above, which one has the lowest formation energy?

number 4

=====

> Look up the formation energy of the first one.

1.722 eV per atom